1.
Density functional theory data (PBE+U) for crystalline MgCoO2F at its relaxed geometry.

Values from the calculation:
The space-group type is P4/mmm, No. 123. The total energy is -5.11 eV/atom.

abc: 3.746 3.746 3.885
angles: 90.00 90.00 90.00
Fractional coordinates of all 5 atoms:
O  0.500  0.000  0.000
O  0.000  0.500  0.000
Mg  0.500  0.500  0.500
F  0.000  0.000  0.500
Co  0.000  0.000  0.000


2.
Density functional theory data (PBE+U) for crystalline MgCoOF2 at its relaxed geometry.

Values from the calculation:
For the excess energy over the best structure of this formula in the dataset, the calculation gives 0 meV/atom. The space-group type is P4/mmm, No. 123.

abc: 3.702 3.702 4.243
angles: 90.00 90.00 90.00
Fractional coordinates of all 5 atoms:
Mg  0.000  0.000  0.000
F  0.000  0.500  0.000
F  0.500  0.000  0.000
Co  0.500  0.500  0.500
O  0.000  0.000  0.500


Number 1: mass density 4.1 g cm⁻³, total magnetic moment 0.513 μB/atom. Number 2: mass density 3.9 g cm⁻³, total magnetic moment 0.568 μB/atom.